# SmMg6Zn6

A relaxed structure of SmMg6Zn6 (GGA-PBE, Alexandria via LeMat-Bulk).

Results
SG: Immm (71)

Cell lengths 5.4934, 7.2358, 7.2358 Å; angles 82.40, 67.69, 67.69 degrees
Sites, in units of the cell vectors:
Zn 0.0000 0.5000 0.0000
Mg 0.3027 0.1973 0.1973
Zn 0.5000 0.2242 0.7758
Zn 0.5000 0.5000 0.0000
Zn 0.5000 0.7758 0.2242
Mg 0.6528 0.3472 0.3472
Mg 0.6973 0.8027 0.8027
Zn 0.0000 0.0000 0.5000
Mg 0.3472 0.6528 0.6528
Mg 0.0000 0.3461 0.6540
Sm 0.0000 0.0000 0.0000
Zn 0.5000 0.0000 0.5000
Mg 0.0000 0.6540 0.3461

# Sm3Mg3Zn2

A relaxed structure of Sm3Mg3Zn2 (GGA-PBE, Alexandria via LeMat-Bulk).

Results
Relative energy among the computed polymorphs: 6.3 meV/atom
SG: P-62m (189)

Cell lengths 3.8164, 7.9361, 7.9361 Å; angles 120.00, 90.00, 90.00 degrees
Sites, in units of the cell vectors:
Sm 0.5000 0.4120 0.4120
Zn 0.0000 0.6667 0.3333
Zn 0.0000 0.3333 0.6667
Sm 0.5000 0.5880 0.0000
Mg 0.0000 0.7682 0.7682
Mg 0.0000 0.0000 0.2318
Mg 0.0000 0.2318 0.0000
Sm 0.5000 0.0000 0.5880

# Sm3Mg3Zn8

A relaxed structure of Sm3Mg3Zn8 (GGA-PBE, Alexandria via LeMat-Bulk).

Results
SG: Immm (71)

Cell lengths 4.5233, 8.5295, 8.5295 Å; angles 64.69, 74.62, 74.62 degrees
Sites, in units of the cell vectors:
Mg 0.0000 0.7955 0.2045
Zn 0.8352 0.5281 0.8015
Sm 0.2055 0.7945 0.7945
Zn 0.1648 0.4719 0.1985
Zn 0.3545 0.9189 0.3721
Zn 0.3545 0.3721 0.9189
Zn 0.6455 0.0811 0.6279
Zn 0.1648 0.1985 0.4719
Zn 0.6455 0.6279 0.0811
Zn 0.8352 0.8015 0.5281
Sm 0.7945 0.2055 0.2055
Mg 0.5000 0.0000 0.0000
Sm 0.5000 0.5000 0.5000
Mg 0.0000 0.2045 0.7955

# Sm4Mg5Zn2

A relaxed structure of Sm4Mg5Zn2 (GGA-PBE, Alexandria via LeMat-Bulk).

Results
SG: P2/m (10)

Cell lengths 3.4650, 8.0671, 10.3180 Å; angles 93.72, 90.00, 90.00 degrees
Sites, in units of the cell vectors:
Mg 0.0000 0.5000 0.0000
Mg 0.0000 0.5645 0.2992
Zn 0.0000 0.0561 0.6314
Sm 0.5000 0.7464 0.5526
Mg 0.0000 0.1972 0.1638
Mg 0.0000 0.4355 0.7008
Zn 0.0000 0.9439 0.3686
Mg 0.0000 0.8028 0.8362
Sm 0.5000 0.2536 0.4474
Sm 0.5000 0.8440 0.1299
Sm 0.5000 0.1560 0.8701

# Sm3MgZn4

A relaxed structure of Sm3MgZn4 (GGA-PBE, Alexandria via LeMat-Bulk).

Results
SG: R-3m (166)

Cell lengths 4.9921, 4.9921, 8.9187 Å; angles 73.75, 73.75, 60.00 degrees
Sites, in units of the cell vectors:
Sm 0.2568 0.2568 0.2295
Zn 0.3745 0.3745 0.8764
Sm 0.5000 0.5000 0.5000
Zn 0.1246 0.1246 0.6262
Sm 0.7432 0.7432 0.7705
Zn 0.8754 0.8754 0.3738
Zn 0.6255 0.6255 0.1236
Mg 0.0000 0.0000 0.0000

# Sm2Mg2Zn15

A relaxed structure of Sm2Mg2Zn15 (GGA-PBE, Alexandria via LeMat-Bulk).

Results
SG: R-3m (166)

Cell lengths 6.9015, 6.9015, 6.9015 Å; angles 82.58, 82.58, 82.58 degrees
Sites, in units of the cell vectors:
Zn 0.3539 0.8384 0.3539
Zn 0.3539 0.3539 0.8384
Zn 0.6461 0.1616 0.6461
Zn 0.2947 0.7053 0.0000
Mg 0.8964 0.8964 0.8964
Sm 0.6582 0.6582 0.6582
Zn 0.8384 0.3539 0.3539
Mg 0.1036 0.1036 0.1036
Zn 0.1616 0.6461 0.6461
Zn 0.2947 0.0000 0.7053
Zn 0.7053 0.0000 0.2947
Zn 0.0000 0.7053 0.2947
Zn 0.6461 0.6461 0.1616
Zn 0.5000 0.0000 0.0000
Zn 0.0000 0.0000 0.5000
Sm 0.3418 0.3418 0.3418
Zn 0.0000 0.2947 0.7053
Zn 0.0000 0.5000 0.0000
Zn 0.7053 0.2947 0.0000

# Sm4MgZn5

A relaxed structure of Sm4MgZn5 (GGA-PBE, Alexandria via LeMat-Bulk).

Results
SG: P4/mmm (123)

Cell lengths 3.5973, 3.5973, 17.7722 Å; angles 90.00, 90.00, 90.00 degrees
Sites, in units of the cell vectors:
Zn 0.5000 0.5000 0.5000
Zn 0.5000 0.5000 0.0837
Zn 0.5000 0.5000 0.7058
Sm 0.0000 0.0000 0.3962
Zn 0.5000 0.5000 0.9163
Mg 0.0000 0.0000 0.0000
Sm 0.0000 0.0000 0.8087
Zn 0.5000 0.5000 0.2942
Sm 0.0000 0.0000 0.6038
Sm 0.0000 0.0000 0.1913

# Sm8Mg2Zn

A relaxed structure of Sm8Mg2Zn (GGA-PBE, Alexandria via LeMat-Bulk).

Results
SG: C2/m (12)

Cell lengths 5.4204, 7.0298, 9.5391 Å; angles 104.87, 106.51, 90.00 degrees
Sites, in units of the cell vectors:
Sm 0.6575 0.9554 0.3150
Mg 0.1883 0.7167 0.3765
Mg 0.8117 0.2833 0.6235
Sm 0.9802 0.2301 0.9605
Sm 0.8051 0.7245 0.6102
Sm 0.1949 0.2755 0.3898
Sm 0.4067 0.5519 0.8133
Zn 0.5000 0.0000 0.0000
Sm 0.3425 0.0446 0.6850
Sm 0.5933 0.4481 0.1867
Sm 0.0198 0.7699 0.0395

# SmMg3Zn4

A relaxed structure of SmMg3Zn4 (GGA-PBE, Alexandria via LeMat-Bulk).

Results
SG: P4/mmm (123)

Cell lengths 4.6748, 7.1906, 9.3432 Å; angles 90.00, 90.00, 90.00 degrees
Sites, in units of the cell vectors:
Zn 0.0006 0.7677 0.7500
Zn 0.5000 0.7679 0.5000
Mg 0.0000 0.0000 0.5000
Mg 0.5005 0.0000 0.7500
Mg 0.5002 0.5000 0.7500
Mg 0.0000 0.0000 0.0000
Zn 0.5000 0.2321 0.5000
Mg 0.4998 0.5000 0.2500
Zn 0.9994 0.7677 0.2500
Zn 0.5000 0.2321 0.0000
Mg 0.4995 0.0000 0.2500
Zn 0.0006 0.2323 0.7500
Sm 0.0000 0.5000 0.5000
Zn 0.9994 0.2323 0.2500
Sm 0.0000 0.5000 0.0000
Zn 0.5000 0.7679 0.0000

# SmMg2Zn

A relaxed structure of SmMg2Zn (GGA-PBE, Alexandria via LeMat-Bulk).

Results
SG: Fm-3m (225)

Cell lengths 5.0115, 5.0115, 5.0115 Å; angles 60.00, 60.00, 60.00 degrees
Sites, in units of the cell vectors:
Sm 0.5000 0.5000 0.5000
Mg 0.2500 0.2500 0.2500
Mg 0.7500 0.7500 0.7500
Zn 0.0000 0.0000 0.0000

# Sm4MgZn2

A relaxed structure of Sm4MgZn2 (GGA-PBE, Alexandria via LeMat-Bulk).

Results
Relative energy among the computed polymorphs: 0.0 meV/atom
SG: R-3m (166)

Cell lengths 5.1768, 5.1768, 8.7455 Å; angles 72.78, 72.78, 60.00 degrees
Sites, in units of the cell vectors:
Mg 0.0000 0.0000 0.0000
Zn 0.7405 0.7405 0.7784
Sm 0.6129 0.6129 0.1613
Sm 0.1334 0.1334 0.5998
Sm 0.8666 0.8666 0.4002
Zn 0.2595 0.2595 0.2216
Sm 0.3871 0.3871 0.8387

# SmMg2Zn2

A relaxed structure of SmMg2Zn2 (GGA-PBE, Alexandria via LeMat-Bulk).

Results
Relative energy among the computed polymorphs: 63.0 meV/atom
SG: I4/mmm (139)

Cell lengths 4.3161, 4.3161, 12.2292 Å; angles 100.16, 100.16, 90.00 degrees
Sites, in units of the cell vectors:
Mg 0.8166 0.8166 0.6331
Sm 0.3764 0.3764 0.7528
Zn 0.9260 0.9260 0.8521
Mg 0.5000 0.0000 0.0000
Mg 0.1834 0.1834 0.3669
Zn 0.0740 0.0740 0.1479
Zn 0.2500 0.7500 0.5000
Sm 0.6236 0.6236 0.2472
Zn 0.7500 0.2500 0.5000
Mg 0.0000 0.5000 0.0000

# Sm3Mg2Zn2

A relaxed structure of Sm3Mg2Zn2 (GGA-PBE, Alexandria via LeMat-Bulk).

Results
SG: P-1 (2)

Cell lengths 6.0255, 6.0286, 8.3976 Å; angles 108.23, 96.82, 134.31 degrees
Sites, in units of the cell vectors:
Sm 0.7270 0.9937 0.3601
Sm 0.2730 0.0063 0.6399
Sm 0.0000 0.0000 0.0000
Mg 0.8354 0.4598 0.1472
Mg 0.1646 0.5402 0.8528
Zn 0.5298 0.7176 0.6240
Zn 0.4702 0.2824 0.3760

# SmMg2Zn

A relaxed structure of SmMg2Zn (GGA-PBE, Alexandria via LeMat-Bulk).

Results
SG: P4/mmm (123)

Cell lengths 4.9006, 4.4146, 4.4146 Å; angles 90.00, 90.00, 90.00 degrees
Sites, in units of the cell vectors:
Mg 0.0000 0.0000 0.5000
Mg 0.0000 0.5000 0.0000
Zn 0.5000 0.0000 0.0000
Sm 0.5000 0.5000 0.5000

# Sm2MgZn9

A relaxed structure of Sm2MgZn9 (GGA-PBE, Alexandria via LeMat-Bulk).

Results
SG: R-3m (166)

Cell lengths 5.5038, 5.5038, 9.1230 Å; angles 72.44, 72.44, 60.00 degrees
Sites, in units of the cell vectors:
Zn 0.6653 0.6653 0.0041
Zn 0.5841 0.0774 0.7543
Mg 0.0000 0.0000 0.0000
Zn 0.4159 0.4159 0.2457
Sm 0.8604 0.8604 0.4189
Zn 0.9226 0.4159 0.2457
Sm 0.1396 0.1396 0.5811
Zn 0.0774 0.5841 0.7543
Zn 0.5841 0.5841 0.7543
Zn 0.3347 0.3347 0.9959
Zn 0.4159 0.9226 0.2457
Zn 0.5000 0.5000 0.5000

# Sm3Mg3Zn2

A relaxed structure of Sm3Mg3Zn2 (GGA-PBE, Alexandria via LeMat-Bulk).

Results
Relative energy among the computed polymorphs: 0.0 meV/atom
SG: R3m (160)

Cell lengths 5.1486, 5.1486, 9.1155 Å; angles 73.60, 73.60, 60.00 degrees
Sites, in units of the cell vectors:
Zn 0.5016 0.5016 0.4953
Sm 0.3700 0.3700 0.8899
Mg 0.6243 0.6243 0.1270
Zn 0.0005 0.0005 0.9984
Sm 0.8789 0.8789 0.3633
Sm 0.1261 0.1261 0.6216
Mg 0.2510 0.2510 0.2470
Mg 0.7475 0.7475 0.7575

# SmMg2Zn2

A relaxed structure of SmMg2Zn2 (GGA-PBE, Alexandria via LeMat-Bulk).

Results
Relative energy among the computed polymorphs: 0.0 meV/atom
SG: R-3m (166)

Cell lengths 4.7154, 4.7154, 6.2750 Å; angles 112.04, 112.04, 60.02 degrees
Sites, in units of the cell vectors:
Mg 0.7083 0.2083 0.6252
Zn 0.0785 0.5785 0.7361
Zn 0.9215 0.4215 0.2639
Sm 0.5000 0.0000 0.0000
Mg 0.2917 0.7917 0.3748

# SmMg3Zn8

A relaxed structure of SmMg3Zn8 (GGA-PBE, Alexandria via LeMat-Bulk).

Results
Relative energy among the computed polymorphs: 0.0 meV/atom
SG: P3m1 (156)

Cell lengths 5.2258, 5.2258, 8.9927 Å; angles 90.00, 90.00, 120.00 degrees
Sites, in units of the cell vectors:
Zn 0.1637 0.8363 0.2437
Zn 0.1637 0.3274 0.2437
Zn 0.5020 0.4980 0.7618
Mg 0.6667 0.3333 0.0611
Mg 0.6667 0.3333 0.4174
Zn 0.9960 0.4980 0.7618
Zn 0.6726 0.8363 0.2437
Zn 0.3333 0.6667 0.0090
Zn 0.3333 0.6667 0.4999
Zn 0.5020 0.0040 0.7618
Sm 0.0000 0.0000 0.5601
Mg 0.0000 0.0000 0.9360

# SmMgZn17

A relaxed structure of SmMgZn17 (GGA-PBE, Alexandria via LeMat-Bulk).

Results
SG: R3m (160)

Cell lengths 6.8078, 6.8078, 6.8078 Å; angles 82.48, 82.48, 82.48 degrees
Sites, in units of the cell vectors:
Zn 0.9022 0.9022 0.9022
Zn 0.6471 0.1641 0.6471
Zn 0.5021 0.9886 0.9886
Zn 0.1641 0.6471 0.6471
Zn 0.3482 0.8445 0.3482
Zn 0.8445 0.3482 0.3482
Zn 0.9886 0.9886 0.5021
Zn 0.9886 0.5021 0.9886
Sm 0.6611 0.6611 0.6611
Zn 0.6930 0.2960 0.0037
Zn 0.1073 0.1073 0.1073
Zn 0.6930 0.0037 0.2960
Zn 0.3482 0.3482 0.8445
Zn 0.2960 0.6930 0.0037
Mg 0.3658 0.3658 0.3658
Zn 0.2960 0.0037 0.6930
Zn 0.6471 0.6471 0.1641
Zn 0.0037 0.2960 0.6930
Zn 0.0037 0.6930 0.2960

no.,total magnetic moment (μB/atom),ΔH_f (0 K) (eV per atom)
1,0.000,-0.17
2,0.116,-0.15
3,0.000,-0.30
4,0.000,-0.11
5,0.000,-0.30
6,0.000,-0.25
7,0.000,-0.27
8,0.000,-0.01
9,0.000,-0.18
10,0.000,-0.08
11,0.004,-0.12
12,0.000,-0.14
13,0.000,-0.16
14,0.000,-0.12
15,0.000,-0.17
16,0.000,-0.15
17,0.000,-0.21
18,0.000,-0.19
19,0.000,-0.13